# 1
VASP calculation (PBE) on crystalline K2CuGeBr6 at its relaxed geometry.

abc: 5.346 5.346 10.609
angles: 90.00 90.00 90.00
Space group P4/mmm (No. 123)
Unique sites:
K 0.000 0.000 0.221 [2 per cell]
Cu 0.500 0.500 0.000 [1 per cell]
Ge 0.500 0.500 0.500 [1 per cell]
Br 0.000 0.500 0.000 [2 per cell]
Br 0.000 0.500 0.500 [2 per cell]
Br 0.500 0.500 0.245 [2 per cell]

Computed properties:
uncorrected formation energy	-0.931	eV per atom
magnetic moment	0.000	μB/atom

=====

# 2
VASP calculation (PBE) on crystalline K2CuGeBr5 at its relaxed geometry.

abc: 4.220 19.328 13.770
angles: 90.00 90.00 90.00
Space group Cmc2_1 (No. 36)
Unique sites:
K 0.000 0.114 0.000 [4 per cell]
K 0.000 0.126 0.623 [4 per cell]
Cu 0.000 0.460 0.753 [4 per cell]
Ge 0.000 0.208 0.322 [4 per cell]
Br 0.000 0.050 0.339 [4 per cell]
Br 0.000 0.289 0.963 [4 per cell]
Br 0.000 0.300 0.680 [4 per cell]
Br 0.000 0.346 0.314 [4 per cell]
Br 0.000 0.499 0.589 [4 per cell]

Computed properties:
uncorrected formation energy	-1.023	eV per atom
magnetic moment	0.000	μB/atom

=====

# 3
VASP calculation (PBE) on crystalline K2Cu2GeBr6 at its relaxed geometry.

abc: 13.263 7.768 7.825
angles: 90.00 120.92 90.00
Space group C2/m (No. 12)
Unique sites:
K 0.234 0.000 0.205 [4 per cell]
Cu 0.047 0.500 0.198 [4 per cell]
Ge 0.000 0.000 0.500 [2 per cell]
Br 0.055 0.246 0.804 [8 per cell]
Br 0.243 0.000 0.633 [4 per cell]

Computed properties:
uncorrected formation energy	-0.860	eV per atom
magnetic moment	0.000	μB/atom

=====

# 4
VASP calculation (PBE) on crystalline La8CuGe3Br4 at its relaxed geometry.

abc: 8.8272 8.8272 21.5546
angles: 90.00 90.00 120.00
Space group R-3m (No. 166, hexagonal axes)
Unique sites:
La 0.0000 0.0000 0.2416 [6 per cell]
La 0.9998 0.4999 0.2418 [18 per cell]
Cu 0.0000 0.0000 0.5000 [3 per cell]
Ge 0.0000 0.5000 0.5000 [9 per cell]
Br 0.0000 0.0000 0.0000 [3 per cell]
Br 0.0000 0.5000 0.0000 [9 per cell]

Computed properties:
uncorrected formation energy	-1.089	eV per atom
magnetic moment	0.000	μB/atom